NaFeO2 after structural relaxation, computed with PBE+U.

a = 6.903 Å, b = 6.903 Å, c = 5.322 Å
α = 104.51°, β = 104.51°, γ = 125.56°
Fractional coordinates of all 16 atoms:
Na: 0.058 0.942 0.750
Na: 0.181 0.819 0.250
Na: 0.819 0.181 0.750
Na: 0.942 0.058 0.250
Fe: 0.310 0.690 0.750
Fe: 0.435 0.565 0.250
Fe: 0.565 0.435 0.750
Fe: 0.690 0.310 0.250
O: 0.088 0.463 0.297
O: 0.239 0.365 0.794
O: 0.365 0.239 0.294
O: 0.463 0.088 0.797
O: 0.537 0.912 0.203
O: 0.635 0.761 0.706
O: 0.761 0.635 0.206
O: 0.912 0.537 0.703

Values from the calculation:
For the raw total energy, the calculation gives -5.74 eV per atom. The total magnetization is 20.0 μB per cell.